Entry 1:
Density functional theory data (PBE-GGA) for ScSiSb2 after structural relaxation.

a b c (Å): 3.449 3.449 7.645
angles (deg): 90.00 90.00 90.00
Fractional coordinates of all 4 atoms:
Sb: 0.000 0.000 0.998
Sb: 0.000 0.000 0.502
Sc: 0.500 0.500 0.250
Si: 0.500 0.500 0.750

Values from the calculation:
V: 22.73 Å³/atom
E_tot: -4.971 eV per atom
Density of states at the Fermi level: 3.711 states/eV per cell

=====

Entry 2:
Density functional theory data (PBE-GGA) for Sc2SiSb after structural relaxation.

a b c (Å): 5.680 5.680 5.680
angles (deg): 138.04 138.02 60.86
Fractional coordinates of all 4 atoms:
Sb: 0.250 0.750 0.500
Sc: 0.000 0.000 0.000
Sc: 0.750 0.250 0.500
Si: 0.500 0.500 0.000

Values from the calculation:
V: 20.26 Å³/atom
E_tot: -6.207 eV per atom
Density of states at the Fermi level: 1.401 states/eV per cell
E above lowest polymorph: 39.3 meV/atom

=====

Entry 3:
Density functional theory data (PBE-GGA) for ScSiSb after structural relaxation.

a b c (Å): 3.730 3.851 9.774
angles (deg): 66.53 79.06 90.03
Fractional coordinates of all 6 atoms:
Sb: 0.045 0.452 0.342
Sb: 0.668 0.199 0.092
Sc: 0.445 0.756 0.538
Sc: 0.268 0.895 0.896
Si: 0.893 0.152 0.641
Si: 0.820 0.499 0.792

Values from the calculation:
V: 21.00 Å³/atom
E_tot: -5.800 eV per atom
Density of states at the Fermi level: 2.215 states/eV per cell
E above lowest polymorph: 0.0 meV/atom

=====

Entry 4:
Density functional theory data (PBE-GGA) for ScSiSb2 after structural relaxation.

a b c (Å): 5.758 5.758 5.758
angles (deg): 135.95 135.95 64.06
Fractional coordinates of all 4 atoms:
Sb: 0.000 0.000 0.000
Sb: 0.500 0.500 0.000
Sc: 0.250 0.750 0.500
Si: 0.750 0.250 0.500

Values from the calculation:
V: 22.76 Å³/atom
E_tot: -5.058 eV per atom
Density of states at the Fermi level: 2.740 states/eV per cell

=====

Entry 5:
Density functional theory data (PBE-GGA) for ScSiSb after structural relaxation.

a b c (Å): 3.942 3.943 10.034
angles (deg): 78.70 78.69 60.01
Fractional coordinates of all 6 atoms:
Sc: 0.461 0.083 0.697
Sc: 0.579 0.200 0.343
Si: 0.852 0.473 0.526
Si: 0.189 0.810 0.513
Sb: 0.318 0.938 0.126
Sb: 0.055 0.675 0.916

Values from the calculation:
V: 21.93 Å³/atom
E_tot: -5.632 eV per atom
Density of states at the Fermi level: 2.480 states/eV per cell
E above lowest polymorph: 167.6 meV/atom

=====

Entry 6:
Density functional theory data (PBE-GGA) for ScSi2Sb after structural relaxation.

a b c (Å): 4.569 4.573 3.689
angles (deg): 90.00 90.00 90.00
Fractional coordinates of all 4 atoms:
Sb: 0.500 0.000 0.500
Sc: 0.000 0.500 0.500
Si: 0.000 0.000 0.000
Si: 0.500 0.500 0.000

Values from the calculation:
V: 19.27 Å³/atom
E_tot: -5.393 eV per atom
Density of states at the Fermi level: 1.406 states/eV per cell